The following is a DFT calculation (PBE-GGA) of an optimized crystal structure of KPuAgTe3.

a = 8.146 Å, b = 8.146 Å, c = 11.417 Å
α = 90.00°, β = 90.00°, γ = 147.93°
Element x y z (fractional)
K 0.246 0.754 0.750
K 0.754 0.246 0.250
Pu 0.000 0.000 0.000
Pu 0.000 0.000 0.500
Ag 0.466 0.534 0.250
Ag 0.534 0.466 0.750
Te 0.075 0.925 0.250
Te 0.369 0.631 0.046
Te 0.369 0.631 0.454
Te 0.631 0.369 0.546
Te 0.631 0.369 0.954
Te 0.925 0.075 0.750

crystal system	orthorhombic
V	33.5	A^3/atom
total DFT energy (no corrections)	-64.85	eV/cell